DFT (PBE) results for an optimized crystal structure of TaTc3.

Calculated total energy: -8.0822 eV per atom
Crystal system: cubic
Energy of formation: 2.655 eV per atom
Theoretical density: 7.10 g/cm³
Relative energy among the computed polymorphs: 2.753 eV/atom
M_tot: 4.04 μB per cell

a = 4.8070 Å, b = 4.8070 Å, c = 4.8070 Å
α = 90.00°, β = 90.00°, γ = 90.00°
With the nearest neighbours (Å) after each atom.
Fractional coordinates of all 4 atoms:
Ta  0.0000  0.0000  0.0000  6 Tc 2.40
Tc  0.0000  0.0000  0.5000  2 Ta 2.40
Tc  0.0000  0.5000  0.0000  2 Ta 2.40
Tc  0.5000  0.0000  0.0000  2 Ta 2.40

***

DFT (PBE) results for an optimized crystal structure of Ta2Tc.

Calculated total energy: -11.6262 eV per atom
Crystal system: monoclinic
Energy of formation: -0.269 eV per atom
Theoretical density: 15.08 g/cm³
Relative energy among the computed polymorphs: 0.113 eV/atom
M_tot: 0.00 μB per cell

a = 10.2691 Å, b = 3.2023 Å, c = 6.5469 Å
α = 90.00°, β = 109.82°, γ = 90.00°
With the nearest neighbours (Å) after each atom.
Fractional coordinates of all 12 atoms:
Ta  0.0001  0.0000  0.2399  4 Tc 2.75-2.77, 4 Ta 2.85-2.87
Ta  0.9999  0.0000  0.7601  4 Tc 2.75-2.77, 4 Ta 2.85-2.87
Ta  0.1702  0.5000  0.5930  2 Tc 2.72, 6 Ta 2.84-2.87
Ta  0.3298  0.0000  0.4070  2 Tc 2.72, 6 Ta 2.84-2.87
Ta  0.5001  0.5000  0.2399  4 Tc 2.75-2.77, 4 Ta 2.85-2.87
Ta  0.4999  0.5000  0.7601  4 Tc 2.75-2.77, 4 Ta 2.85-2.87
Ta  0.6702  0.0000  0.5930  2 Tc 2.72, 6 Ta 2.84-2.87
Ta  0.8298  0.5000  0.4070  2 Tc 2.72, 6 Ta 2.84-2.87
Tc  0.1665  0.5000  0.0862  6 Ta 2.72-2.77, 2 Tc 2.84
Tc  0.3335  0.0000  0.9138  6 Ta 2.72-2.77, 2 Tc 2.84
Tc  0.6665  0.0000  0.0862  6 Ta 2.72-2.77, 2 Tc 2.84
Tc  0.8335  0.5000  0.9138  6 Ta 2.72-2.77, 2 Tc 2.84

***

DFT (PBE) results for an optimized crystal structure of Ta7Tc.

Calculated total energy: -11.4393 eV per atom
Crystal system: cubic
Energy of formation: 0.227 eV per atom
Theoretical density: 15.57 g/cm³
M_tot: 0.00 μB per cell

a = 5.9041 Å, b = 5.9041 Å, c = 5.9041 Å
α = 60.00°, β = 60.00°, γ = 60.00°
With the nearest neighbours (Å) after each atom.
Fractional coordinates of all 8 atoms:
Ta  0.0000  0.0000  0.0000  12 Ta 2.95
Ta  0.0000  0.0000  0.5000  10 Ta 2.95, 2 Tc 2.95
Ta  0.0000  0.5000  0.0000  10 Ta 2.95, 2 Tc 2.95
Ta  0.0000  0.5000  0.5000  10 Ta 2.95, 2 Tc 2.95
Ta  0.5000  0.0000  0.0000  10 Ta 2.95, 2 Tc 2.95
Ta  0.5000  0.0000  0.5000  10 Ta 2.95, 2 Tc 2.95
Ta  0.5000  0.5000  0.0000  10 Ta 2.95, 2 Tc 2.95
Tc  0.5000  0.5000  0.5000  12 Ta 2.95

***

DFT (PBE) results for an optimized crystal structure of TaTc3.

Calculated total energy: -10.7497 eV per atom
Crystal system: trigonal
Energy of formation: -0.012 eV per atom
Theoretical density: 12.74 g/cm³
Relative energy among the computed polymorphs: 0.086 eV/atom
M_tot: 0.00 μB per cell

a = 8.8117 Å, b = 8.8117 Å, c = 2.7615 Å
α = 90.00°, β = 90.00°, γ = 120.00°
With the nearest neighbours (Å) after each atom.
Fractional coordinates of all 12 atoms:
Ta  0.0000  0.0000  0.0000  6 Tc 2.71, 2 Ta 2.76
Ta  0.3333  0.6667  0.6667  6 Tc 2.71, 2 Ta 2.76
Ta  0.6667  0.3333  0.3333  6 Tc 2.71, 2 Ta 2.76
Tc  0.0000  0.5000  0.0000  6 Tc 2.71-2.76, 2 Ta 2.71
Tc  0.1667  0.3333  0.3333  6 Tc 2.71-2.76, 2 Ta 2.71
Tc  0.1667  0.8333  0.3333  2 Ta 2.71, 6 Tc 2.71-2.76
Tc  0.3333  0.1667  0.6667  6 Tc 2.71-2.76, 2 Ta 2.71
Tc  0.5000  0.0000  0.0000  2 Ta 2.71, 6 Tc 2.71-2.76
Tc  0.5000  0.5000  0.0000  6 Tc 2.71-2.76, 2 Ta 2.71
Tc  0.6667  0.8333  0.3333  6 Tc 2.71-2.76, 2 Ta 2.71
Tc  0.8333  0.1667  0.6667  2 Ta 2.71, 6 Tc 2.71-2.76
Tc  0.8333  0.6667  0.6667  6 Tc 2.71-2.76, 2 Ta 2.71

***

DFT (PBE) results for an optimized crystal structure of TaTc2.

Calculated total energy: -10.5933 eV per atom
Crystal system: tetragonal
Energy of formation: 0.268 eV per atom
Theoretical density: 12.37 g/cm³
Relative energy among the computed polymorphs: 0.466 eV/atom
M_tot: 0.00 μB per cell

a = 3.1264 Å, b = 3.1264 Å, c = 20.7065 Å
α = 90.00°, β = 90.00°, γ = 90.00°
With the nearest neighbours (Å) after each atom.
Fractional coordinates of all 12 atoms:
Ta  0.0000  0.2500  0.3750  8 Tc 2.72
Ta  0.0000  0.7500  0.6250  8 Tc 2.72
Ta  0.5000  0.2500  0.1250  8 Tc 2.72
Ta  0.5000  0.7500  0.8750  8 Tc 2.72
Tc  0.0000  0.2500  0.7987  2 Tc 2.55, 4 Ta 2.72
Tc  0.0000  0.2500  0.9513  2 Tc 2.55, 4 Ta 2.72
Tc  0.0000  0.7500  0.0487  2 Tc 2.55, 4 Ta 2.72
Tc  0.0000  0.7500  0.2013  2 Tc 2.55, 4 Ta 2.72
Tc  0.5000  0.2500  0.5487  2 Tc 2.55, 4 Ta 2.72
Tc  0.5000  0.2500  0.7013  2 Tc 2.55, 4 Ta 2.72
Tc  0.5000  0.7500  0.2987  2 Tc 2.55, 4 Ta 2.72
Tc  0.5000  0.7500  0.4513  2 Tc 2.55, 4 Ta 2.72

***

DFT (PBE) results for an optimized crystal structure of Ta5Tc3.

Calculated total energy: -11.3557 eV per atom
Crystal system: hexagonal
Energy of formation: -0.061 eV per atom
Theoretical density: 14.41 g/cm³
Relative energy among the computed polymorphs: 0.356 eV/atom
M_tot: 0.00 μB per cell

a = 7.6803 Å, b = 7.6803 Å, c = 5.4074 Å
α = 90.00°, β = 90.00°, γ = 120.00°
With the nearest neighbours (Å) after each atom.
Fractional coordinates of all 16 atoms:
Ta  0.0000  0.2308  0.2500  3 Tc 2.67-2.83
Ta  0.0000  0.7692  0.7500  3 Tc 2.67-2.83
Ta  0.2308  0.0000  0.2500  3 Tc 2.67-2.83
Ta  0.2308  0.2308  0.7500  3 Tc 2.67-2.83
Ta  0.3333  0.6667  0.0000  2 Ta 2.70, 6 Tc 2.71
Ta  0.3333  0.6667  0.5000  2 Ta 2.70, 6 Tc 2.71
Ta  0.6667  0.3333  0.0000  2 Ta 2.70, 6 Tc 2.71
Ta  0.6667  0.3333  0.5000  2 Ta 2.70, 6 Tc 2.71
Ta  0.7692  0.0000  0.7500  3 Tc 2.67-2.83
Ta  0.7692  0.7692  0.2500  3 Tc 2.67-2.83
Tc  0.0000  0.4005  0.7500  7 Ta 2.67-2.83
Tc  0.0000  0.5995  0.2500  7 Ta 2.67-2.83
Tc  0.4005  0.0000  0.7500  7 Ta 2.67-2.83
Tc  0.4005  0.4005  0.2500  7 Ta 2.67-2.83
Tc  0.5995  0.0000  0.2500  7 Ta 2.67-2.83
Tc  0.5995  0.5995  0.7500  7 Ta 2.67-2.83

***

DFT (PBE) results for an optimized crystal structure of Ta2Tc.

Calculated total energy: -10.9760 eV per atom
Crystal system: tetragonal
Energy of formation: 0.381 eV per atom
Theoretical density: 12.95 g/cm³
Relative energy among the computed polymorphs: 0.763 eV/atom
M_tot: 0.00 μB per cell

a = 4.3559 Å, b = 4.3559 Å, c = 3.1077 Å
α = 90.00°, β = 90.00°, γ = 90.00°
With the nearest neighbours (Å) after each atom.
Fractional coordinates of all 3 atoms:
Ta  0.0000  0.5000  0.0000  4 Tc 2.68
Ta  0.5000  0.0000  0.0000  4 Tc 2.68
Tc  0.0000  0.0000  0.5000  8 Ta 2.68

***

DFT (PBE) results for an optimized crystal structure of TaTc3.

Calculated total energy: -10.6162 eV per atom
Crystal system: trigonal
Energy of formation: 0.121 eV per atom
Theoretical density: 12.64 g/cm³
Relative energy among the computed polymorphs: 0.219 eV/atom
M_tot: 0.00 μB per cell

a = 2.7967 Å, b = 2.7967 Å, c = 27.6285 Å
α = 90.00°, β = 90.00°, γ = 120.00°
With the nearest neighbours (Å) after each atom.
Fractional coordinates of all 12 atoms:
Ta  0.0000  0.0000  0.0000  6 Ta 2.80, 6 Tc 2.93
Ta  0.3333  0.6667  0.6667  6 Ta 2.80, 6 Tc 2.93
Ta  0.6667  0.3333  0.3333  6 Ta 2.80, 6 Tc 2.93
Tc  0.0000  0.0000  0.2449  9 Tc 2.70-2.80, 3 Ta 2.93
Tc  0.0000  0.0000  0.5000  12 Tc 2.70-2.80
Tc  0.0000  0.0000  0.7551  9 Tc 2.70-2.80, 3 Ta 2.93
Tc  0.3333  0.6667  0.1667  12 Tc 2.70-2.80
Tc  0.3333  0.6667  0.4218  9 Tc 2.70-2.80, 3 Ta 2.93
Tc  0.3333  0.6667  0.9115  9 Tc 2.70-2.80, 3 Ta 2.93
Tc  0.6667  0.3333  0.0885  9 Tc 2.70-2.80, 3 Ta 2.93
Tc  0.6667  0.3333  0.5782  9 Tc 2.70-2.80, 3 Ta 2.93
Tc  0.6667  0.3333  0.8333  12 Tc 2.70-2.80

***

DFT (PBE) results for an optimized crystal structure of TaTc8.

Calculated total energy: -10.5172 eV per atom
Crystal system: tetragonal
Energy of formation: 0.014 eV per atom
Theoretical density: 11.81 g/cm³
M_tot: 0.00 μB per cell

a = 6.2143 Å, b = 6.2143 Å, c = 6.2143 Å
α = 95.63°, β = 95.63°, γ = 143.48°
With the nearest neighbours (Å) after each atom.
Fractional coordinates of all 9 atoms:
Ta  0.0000  0.0000  0.0000  12 Tc 2.84-2.85
Tc  0.0000  0.3415  0.3415  11 Tc 2.65-2.80, 1 Ta 2.85
Tc  0.0000  0.6585  0.6585  11 Tc 2.65-2.80, 1 Ta 2.85
Tc  0.3246  0.3246  0.6491  10 Tc 2.62-2.93, 2 Ta 2.84
Tc  0.3246  0.6754  0.0000  10 Tc 2.62-2.93, 2 Ta 2.84
Tc  0.3415  0.0000  0.3415  11 Tc 2.65-2.80, 1 Ta 2.85
Tc  0.6585  0.0000  0.6585  11 Tc 2.65-2.80, 1 Ta 2.85
Tc  0.6754  0.3246  0.0000  10 Tc 2.62-2.93, 2 Ta 2.84
Tc  0.6754  0.6754  0.3509  10 Tc 2.62-2.93, 2 Ta 2.84

***

DFT (PBE) results for an optimized crystal structure of Ta4Tc.

Calculated total energy: -11.0434 eV per atom
Crystal system: tetragonal
Energy of formation: 0.512 eV per atom
Theoretical density: 13.97 g/cm³
Relative energy among the computed polymorphs: 0.734 eV/atom
M_tot: 0.00 μB per cell

a = 6.4038 Å, b = 6.4038 Å, c = 6.4038 Å
α = 103.83°, β = 103.83°, γ = 121.47°
With the nearest neighbours (Å) after each atom.
Fractional coordinates of all 10 atoms:
Ta  0.2461  0.2956  0.5495  1 Tc 2.48, 2 Ta 2.76
Ta  0.2461  0.6966  0.9505  1 Tc 2.48, 2 Ta 2.76
Ta  0.2956  0.2461  0.0495  1 Tc 2.48, 2 Ta 2.76
Ta  0.3034  0.7539  0.5495  1 Tc 2.48, 2 Ta 2.76
Ta  0.6966  0.2461  0.4505  1 Tc 2.48, 2 Ta 2.76
Ta  0.7044  0.7539  0.9505  1 Tc 2.48, 2 Ta 2.76
Ta  0.7539  0.3034  0.0495  1 Tc 2.48, 2 Ta 2.76
Ta  0.7539  0.7044  0.4505  1 Tc 2.48, 2 Ta 2.76
Tc  0.1250  0.8750  0.2500  4 Ta 2.48
Tc  0.8750  0.1250  0.7500  4 Ta 2.48

***

DFT (PBE) results for an optimized crystal structure of TaTc2.

Calculated total energy: -9.6960 eV per atom
Crystal system: cubic
Energy of formation: 1.166 eV per atom
Theoretical density: 11.01 g/cm³
Relative energy among the computed polymorphs: 1.363 eV/atom
M_tot: 0.00 μB per cell

a = 6.1039 Å, b = 6.1039 Å, c = 6.1039 Å
α = 90.00°, β = 90.00°, γ = 90.00°
With the nearest neighbours (Å) after each atom.
Fractional coordinates of all 12 atoms:
Ta  0.0000  0.0000  0.0000  6 Tc 2.55
Ta  0.0000  0.5000  0.5000  6 Tc 2.55
Ta  0.5000  0.0000  0.5000  6 Tc 2.55
Ta  0.5000  0.5000  0.0000  6 Tc 2.55
Tc  0.1152  0.6152  0.8848  1 Tc 2.43, 3 Ta 2.55
Tc  0.1152  0.8848  0.3848  1 Tc 2.43, 3 Ta 2.55
Tc  0.3848  0.1152  0.8848  1 Tc 2.43, 3 Ta 2.55
Tc  0.3848  0.3848  0.3848  1 Tc 2.43, 3 Ta 2.55
Tc  0.6152  0.6152  0.6152  1 Tc 2.43, 3 Ta 2.55
Tc  0.6152  0.8848  0.1152  1 Tc 2.43, 3 Ta 2.55
Tc  0.8848  0.1152  0.6152  1 Tc 2.43, 3 Ta 2.55
Tc  0.8848  0.3848  0.1152  1 Tc 2.43, 3 Ta 2.55

***

DFT (PBE) results for an optimized crystal structure of Ta2Tc.

Calculated total energy: -11.0946 eV per atom
Crystal system: tetragonal
Energy of formation: 0.263 eV per atom
Theoretical density: 14.16 g/cm³
Relative energy among the computed polymorphs: 0.644 eV/atom
M_tot: 0.00 μB per cell

a = 3.0459 Å, b = 3.0459 Å, c = 23.2566 Å
α = 90.00°, β = 90.00°, γ = 90.00°
With the nearest neighbours (Å) after each atom.
Fractional coordinates of all 12 atoms:
Ta  0.0000  0.2500  0.3028  4 Tc 2.73, 6 Ta 2.89-3.05
Ta  0.0000  0.2500  0.4472  4 Tc 2.73, 6 Ta 2.89-3.05
Ta  0.0000  0.7500  0.5528  4 Tc 2.73, 6 Ta 2.89-3.05
Ta  0.0000  0.7500  0.6972  4 Tc 2.73, 6 Ta 2.89-3.05
Ta  0.5000  0.2500  0.0528  4 Tc 2.73, 6 Ta 2.89-3.05
Ta  0.5000  0.2500  0.1972  4 Tc 2.73, 6 Ta 2.89-3.05
Ta  0.5000  0.7500  0.8028  4 Tc 2.73, 6 Ta 2.89-3.05
Ta  0.5000  0.7500  0.9472  4 Tc 2.73, 6 Ta 2.89-3.05
Tc  0.0000  0.2500  0.8750  8 Ta 2.73, 4 Tc 3.05
Tc  0.0000  0.7500  0.1250  8 Ta 2.73, 4 Tc 3.05
Tc  0.5000  0.2500  0.6250  8 Ta 2.73, 4 Tc 3.05
Tc  0.5000  0.7500  0.3750  8 Ta 2.73, 4 Tc 3.05

***

| no. | calculated volume (Å³/atom) |
| --- | --- |
| 1 | 27.8 |
| 2 | 16.9 |
| 3 | 18.2 |
| 4 | 15.5 |
| 5 | 16.9 |
| 6 | 17.3 |
| 7 | 19.7 |
| 8 | 15.6 |
| 9 | 15.1 |
| 10 | 19.5 |
| 11 | 19.0 |
| 12 | 18.0 |